A relaxed structure of RbCaBr3. Source: the Alexandria database, functional PBE-GGA.

```
data_RbCaBr3
_chemical_formula_sum 'Rb6 Ca6 Br18'
_space_group_name_H-M_alt 'R -3'
_space_group_IT_number 148
_space_group_name_Hall '-R 3'
_cell_length_a 7.7587
_cell_length_b 7.7587
_cell_length_c 22.8735
_cell_angle_alpha 90.00
_cell_angle_beta 90.00
_cell_angle_gamma 120.00
loop_
_atom_site_label
_atom_site_fract_x
_atom_site_fract_y
_atom_site_fract_z
Rb1 0.0000 0.0000 0.1403
Ca1 0.0000 0.0000 0.3378
Br1 0.0100 0.3977 0.9254
```

- size of the total moment (μB per atom) = 0.00
- raw formation energy (eV/atom) = -1.937
- final energy (eV/atom) = -3.53
- calculated volume (Å³ per cell) = 1192.71